PBE-GGA NpVGa2, optimized geometry; energy of formation = -0.107 eV/atom; ΔE to the lowest computed polymorph = 0.00 eV per formula unit
1.0
2.6306 0.0000 0.0000
0.0000 2.6306 0.0000
0.0000 0.0000 8.9721
Ga V Np
2 1 1
Cartesian
0.0000 0.0000 2.0096
0.0000 0.0000 6.9625
1.3153 1.3153 0.0000
1.3153 1.3153 4.4861

=====

PBE-GGA Y2Be2Ru, optimized geometry; energy of formation = 0.001 eV/atom
1.0
-6.0165 2.6927 0.4346
-2.2226 -5.4500 2.9992
0.9786 1.6002 3.6329
Be Ru Y
4 2 4
Cartesian
-4.2781 -3.7848 2.8194
-1.5500 -1.7834 1.2030
-6.6890 -0.9739 2.2308
-3.9610 1.0275 0.6144
-4.1195 -1.3786 1.7169
0.0000 0.0000 0.0000
-5.4580 -1.7658 4.5487
-5.0826 1.2885 3.1022
-1.8025 0.6088 2.5181
-2.1779 -2.4456 3.9645

=====

PBE-GGA La3TbTe4, optimized geometry; formation energy (no corrections) = -1520 meV/atom; ΔE to the lowest computed polymorph = 0.02 eV per formula unit
1.0
-2.2165 1.1180 3.7407
-6.2951 -3.9855 -2.5389
4.5917 -4.8469 4.1693
Te La Tb
4 3 1
Cartesian
-1.2956 -6.7178 1.2400
-4.7408 -3.6372 0.9720
-0.4078 -2.1147 0.3903
0.8209 -4.0773 4.3990
2.2959 -2.4235 2.0846
-3.1476 -1.9928 -1.2695
-1.9600 -3.8572 2.6855
-1.1082 0.5590 1.8704